Record 1
! Sm2Si2Ge (PBE-GGA, optimized geometry); values from VASP
! VASP energy	-5.63	eV per atom
! symmetry	P4/mbm, No. 127
! raw formation energy	-647	meV/atom
&SYSTEM
  ibrav = 0, nat = 10, ntyp = 3
/
ATOMIC_SPECIES
Sm 150.36 Sm.upf
Si 28.09 Si.upf
Ge 72.64 Ge.upf
CELL_PARAMETERS angstrom
7.187 0.000 0.000
0.000 7.187 0.000
0.000 0.000 4.283
ATOMIC_POSITIONS crystal
Sm 0.182 0.318 0.000
Sm 0.318 0.818 0.000
Sm 0.682 0.182 0.000
Sm 0.818 0.682 0.000
Si 0.117 0.617 0.500
Si 0.383 0.117 0.500
Si 0.617 0.883 0.500
Si 0.883 0.383 0.500
Ge 0.000 0.000 0.500
Ge 0.500 0.500 0.500

Record 2
! SmSiGe (PBE-GGA, optimized geometry); values from VASP
! VASP energy	-5.47	eV per atom
! symmetry	Immm, No. 71
! raw formation energy	-553	meV/atom
&SYSTEM
  ibrav = 0, nat = 6, ntyp = 3
/
ATOMIC_SPECIES
Sm 150.36 Sm.upf
Si 28.09 Si.upf
Ge 72.64 Ge.upf
CELL_PARAMETERS angstrom
-2.022 3.928 4.059
2.022 -3.928 4.059
2.022 3.928 -4.059
ATOMIC_POSITIONS crystal
Sm 0.248 0.248 0.000
Sm 0.752 0.752 0.000
Si 0.151 0.500 0.651
Si 0.849 0.500 0.349
Ge 0.329 0.000 0.329
Ge 0.671 0.000 0.671

Record 3
! Sm10Si3Ge3 (PBE-GGA, optimized geometry); values from VASP
! VASP energy	-5.51	eV per atom
! symmetry	P-62m, No. 189
! raw formation energy	-676	meV/atom
&SYSTEM
  ibrav = 0, nat = 16, ntyp = 3
/
ATOMIC_SPECIES
Sm 150.36 Sm.upf
Si 28.09 Si.upf
Ge 72.64 Ge.upf
CELL_PARAMETERS angstrom
8.693 0.000 0.000
-4.346 7.528 0.000
0.000 0.000 6.593
ATOMIC_POSITIONS crystal
Sm 0.000 0.244 0.000
Sm 0.000 0.755 0.500
Sm 0.244 0.000 0.000
Sm 0.245 0.245 0.500
Sm 0.333 0.667 0.247
Sm 0.333 0.667 0.753
Sm 0.667 0.333 0.247
Sm 0.667 0.333 0.753
Sm 0.755 0.000 0.500
Sm 0.756 0.756 0.000
Si 0.000 0.607 0.000
Si 0.393 0.393 0.000
Si 0.607 0.000 0.000
Ge 0.000 0.393 0.500
Ge 0.393 0.000 0.500
Ge 0.607 0.607 0.500

Record 4
! SmSiTc2Ge (PBE-GGA, optimized geometry); values from VASP
! VASP energy	-7.62	eV per atom
! symmetry	Cmcm, No. 63
! raw formation energy	-519	meV/atom
&SYSTEM
  ibrav = 0, nat = 10, ntyp = 4
/
ATOMIC_SPECIES
Sm 150.36 Sm.upf
Si 28.09 Si.upf
Tc 98.00 Tc.upf
Ge 72.64 Ge.upf
CELL_PARAMETERS angstrom
2.921 -5.251 0.000
2.921 5.251 0.000
0.000 0.000 5.901
ATOMIC_POSITIONS crystal
Sm 0.248 0.752 0.750
Sm 0.752 0.248 0.250
Si 0.116 0.884 0.250
Si 0.884 0.116 0.750
Tc 0.255 0.255 0.000
Tc 0.255 0.255 0.500
Tc 0.745 0.745 0.000
Tc 0.745 0.745 0.500
Ge 0.361 0.639 0.250
Ge 0.639 0.361 0.750

Record 5
! SmSiTc2Ge2 (PBE-GGA, optimized geometry); values from VASP
! VASP energy	-6.93	eV per atom
! symmetry	P4/mmm, No. 123
! raw formation energy	-248	meV/atom
&SYSTEM
  ibrav = 0, nat = 6, ntyp = 4
/
ATOMIC_SPECIES
Sm 150.36 Sm.upf
Si 28.09 Si.upf
Tc 98.00 Tc.upf
Ge 72.64 Ge.upf
CELL_PARAMETERS angstrom
4.498 0.000 0.000
0.000 4.498 0.000
0.000 0.000 5.575
ATOMIC_POSITIONS crystal
Sm 0.000 0.000 0.000
Si 0.000 0.000 0.500
Tc 0.000 0.500 0.500
Tc 0.500 0.000 0.500
Ge 0.500 0.500 0.231
Ge 0.500 0.500 0.769

Record 6
! Sm8Si3GeTe4 (PBE-GGA, optimized geometry); values from VASP
! VASP energy	-5.59	eV per atom
! symmetry	R-3m, No. 166
! raw formation energy	-1138	meV/atom
&SYSTEM
  ibrav = 0, nat = 16, ntyp = 4
/
ATOMIC_SPECIES
Sm 150.36 Sm.upf
Si 28.09 Si.upf
Ge 72.64 Ge.upf
Te 127.60 Te.upf
CELL_PARAMETERS angstrom
4.315 2.491 7.239
-4.315 2.491 7.239
0.000 -4.982 7.239
ATOMIC_POSITIONS crystal
Sm 0.240 0.741 0.741
Sm 0.241 0.241 0.241
Sm 0.259 0.259 0.760
Sm 0.259 0.760 0.259
Sm 0.741 0.240 0.741
Sm 0.741 0.741 0.240
Sm 0.759 0.759 0.759
Sm 0.760 0.259 0.259
Si 0.000 0.000 0.500
Si 0.000 0.500 0.000
Si 0.500 0.000 0.000
Ge 0.500 0.500 0.500
Te 0.000 0.000 0.000
Te 0.000 0.500 0.500
Te 0.500 0.000 0.500
Te 0.500 0.500 0.000

Record 7
! Sm6SiGe2Te3 (PBE-GGA, optimized geometry); values from VASP
! VASP energy	-5.55	eV per atom
! symmetry	C2/m, No. 12
! raw formation energy	-1181	meV/atom
&SYSTEM
  ibrav = 0, nat = 12, ntyp = 4
/
ATOMIC_SPECIES
Sm 150.36 Sm.upf
Si 28.09 Si.upf
Ge 72.64 Ge.upf
Te 127.60 Te.upf
CELL_PARAMETERS angstrom
9.553 -2.163 0.000
9.553 2.163 0.000
-2.244 0.000 8.493
ATOMIC_POSITIONS crystal
Sm 0.006 0.006 0.234
Sm 0.328 0.328 0.432
Sm 0.340 0.340 0.903
Sm 0.660 0.660 0.097
Sm 0.672 0.672 0.568
Sm 0.994 0.994 0.766
Si 0.500 0.500 0.000
Ge 0.167 0.167 0.333
Ge 0.833 0.833 0.667
Te 0.167 0.167 0.833
Te 0.500 0.500 0.500
Te 0.833 0.833 0.167

Record 8
! Sm6Si2GeTe3 (PBE-GGA, optimized geometry); values from VASP
! VASP energy	-5.58	eV per atom
! symmetry	C2/m, No. 12
! raw formation energy	-1147	meV/atom
&SYSTEM
  ibrav = 0, nat = 12, ntyp = 4
/
ATOMIC_SPECIES
Sm 150.36 Sm.upf
Si 28.09 Si.upf
Ge 72.64 Ge.upf
Te 127.60 Te.upf
CELL_PARAMETERS angstrom
9.547 -2.160 0.000
9.547 2.160 0.000
-2.260 0.000 8.485
ATOMIC_POSITIONS crystal
Sm 0.006 0.006 0.236
Sm 0.327 0.327 0.432
Sm 0.339 0.339 0.900
Sm 0.661 0.661 0.100
Sm 0.673 0.673 0.568
Sm 0.994 0.994 0.764
Si 0.167 0.167 0.333
Si 0.833 0.833 0.667
Ge 0.500 0.500 0.000
Te 0.166 0.166 0.833
Te 0.500 0.500 0.500
Te 0.834 0.834 0.167

Record 9
! SmYSiGe (PBE-GGA, optimized geometry); values from VASP
! VASP energy	-6.14	eV per atom
! symmetry	Amm2, No. 38
! raw formation energy	-839	meV/atom
&SYSTEM
  ibrav = 0, nat = 4, ntyp = 4
/
ATOMIC_SPECIES
Sm 150.36 Sm.upf
Y 88.91 Y.upf
Si 28.09 Si.upf
Ge 72.64 Ge.upf
CELL_PARAMETERS angstrom
3.941 0.000 0.000
0.000 2.177 5.381
0.000 -2.177 5.381
ATOMIC_POSITIONS crystal
Sm 0.000 0.000 0.000
Y 0.500 0.279 0.279
Si 0.500 0.559 0.559
Ge 0.000 0.718 0.718

Record 10
! SiSn3Ge (PBE-GGA, optimized geometry); values from VASP
! VASP energy	-3.82	eV per atom
! symmetry	Pm-3m, No. 221
! raw formation energy	589	meV/atom
&SYSTEM
  ibrav = 0, nat = 5, ntyp = 3
/
ATOMIC_SPECIES
Si 28.09 Si.upf
Sn 118.71 Sn.upf
Ge 72.64 Ge.upf
CELL_PARAMETERS angstrom
5.192 0.000 0.000
0.000 5.192 0.000
0.000 0.000 5.192
ATOMIC_POSITIONS crystal
Si 0.000 0.000 0.000
Sn 0.000 0.000 0.500
Sn 0.000 0.500 0.000
Sn 0.500 0.000 0.000
Ge 0.500 0.500 0.500

Record 11
! Si2SnGe (PBE-GGA, optimized geometry); values from VASP
! VASP energy	-4.33	eV per atom
! symmetry	Fm-3m, No. 225
! raw formation energy	536	meV/atom
&SYSTEM
  ibrav = 0, nat = 4, ntyp = 3
/
ATOMIC_SPECIES
Si 28.09 Si.upf
Sn 118.71 Sn.upf
Ge 72.64 Ge.upf
CELL_PARAMETERS angstrom
0.000 3.380 3.380
3.380 0.000 3.380
3.380 3.380 0.000
ATOMIC_POSITIONS crystal
Si 0.250 0.250 0.250
Si 0.750 0.750 0.750
Sn 0.000 0.000 0.000
Ge 0.500 0.500 0.500

Record 12
! SiSn2Ge (PBE-GGA, optimized geometry); values from VASP
! VASP energy	-4.42	eV per atom
! symmetry	I-42d, No. 122
! raw formation energy	87	meV/atom
&SYSTEM
  ibrav = 0, nat = 8, ntyp = 3
/
ATOMIC_SPECIES
Si 28.09 Si.upf
Sn 118.71 Sn.upf
Ge 72.64 Ge.upf
CELL_PARAMETERS angstrom
-3.067 3.067 6.133
3.067 -3.067 6.133
3.067 3.067 -6.133
ATOMIC_POSITIONS crystal
Si 0.000 0.000 0.000
Si 0.750 0.250 0.500
Sn 0.118 0.625 0.993
Sn 0.375 0.368 0.493
Sn 0.632 0.125 0.007
Sn 0.875 0.882 0.507
Ge 0.250 0.750 0.500
Ge 0.500 0.500 0.000

Record 13
! SiSn2Ge (PBE-GGA, optimized geometry); values from VASP
! VASP energy	-4.14	eV per atom
! symmetry	Fm-3m, No. 225
! raw formation energy	368	meV/atom
&SYSTEM
  ibrav = 0, nat = 4, ntyp = 3
/
ATOMIC_SPECIES
Si 28.09 Si.upf
Sn 118.71 Sn.upf
Ge 72.64 Ge.upf
CELL_PARAMETERS angstrom
0.000 3.556 3.556
3.556 0.000 3.556
3.556 3.556 0.000
ATOMIC_POSITIONS crystal
Si 0.000 0.000 0.000
Sn 0.250 0.250 0.250
Sn 0.750 0.750 0.750
Ge 0.500 0.500 0.500

Record 14
! SiSn3Ge (PBE-GGA, optimized geometry); values from VASP
! VASP energy	-3.61	eV per atom
! symmetry	Pm-3m, No. 221
! raw formation energy	805	meV/atom
&SYSTEM
  ibrav = 0, nat = 5, ntyp = 3
/
ATOMIC_SPECIES
Si 28.09 Si.upf
Sn 118.71 Sn.upf
Ge 72.64 Ge.upf
CELL_PARAMETERS angstrom
5.293 0.000 0.000
0.000 5.293 0.000
0.000 0.000 5.293
ATOMIC_POSITIONS crystal
Si 0.000 0.000 0.000
Sn 0.000 0.500 0.500
Sn 0.500 0.000 0.500
Sn 0.500 0.500 0.000
Ge 0.500 0.500 0.500

Record 15
! SiSnGe3 (PBE-GGA, optimized geometry); values from VASP
! VASP energy	-3.46	eV per atom
! symmetry	Pm-3m, No. 221
! raw formation energy	1196	meV/atom
&SYSTEM
  ibrav = 0, nat = 5, ntyp = 3
/
ATOMIC_SPECIES
Si 28.09 Si.upf
Sn 118.71 Sn.upf
Ge 72.64 Ge.upf
CELL_PARAMETERS angstrom
5.235 0.000 0.000
0.000 5.235 0.000
0.000 0.000 5.235
ATOMIC_POSITIONS crystal
Si 0.000 0.000 0.000
Sn 0.500 0.500 0.500
Ge 0.000 0.500 0.500
Ge 0.500 0.000 0.500
Ge 0.500 0.500 0.000

Record 16
! SiSnGe3 (PBE-GGA, optimized geometry); values from VASP
! VASP energy	-4.14	eV per atom
! symmetry	Pm-3m, No. 221
! raw formation energy	518	meV/atom
&SYSTEM
  ibrav = 0, nat = 5, ntyp = 3
/
ATOMIC_SPECIES
Si 28.09 Si.upf
Sn 118.71 Sn.upf
Ge 72.64 Ge.upf
CELL_PARAMETERS angstrom
4.848 0.000 0.000
0.000 4.848 0.000
0.000 0.000 4.848
ATOMIC_POSITIONS crystal
Si 0.000 0.000 0.000
Sn 0.500 0.500 0.500
Ge 0.000 0.000 0.500
Ge 0.000 0.500 0.000
Ge 0.500 0.000 0.000

Record 17
! Si2SnGe (PBE-GGA, optimized geometry); values from VASP
! VASP energy	-4.77	eV per atom
! symmetry	I-42d, No. 122
! raw formation energy	99	meV/atom
&SYSTEM
  ibrav = 0, nat = 8, ntyp = 3
/
ATOMIC_SPECIES
Si 28.09 Si.upf
Sn 118.71 Sn.upf
Ge 72.64 Ge.upf
CELL_PARAMETERS angstrom
-2.918 2.918 5.802
2.918 -2.918 5.802
2.918 2.918 -5.802
ATOMIC_POSITIONS crystal
Si 0.099 0.625 0.974
Si 0.375 0.349 0.474
Si 0.651 0.125 0.026
Si 0.875 0.901 0.526
Sn 0.250 0.750 0.500
Sn 0.500 0.500 0.000
Ge 0.000 0.000 0.000
Ge 0.750 0.250 0.500

Record 18
! Si2Sn2Ge (PBE-GGA, optimized geometry); values from VASP
! VASP energy	-4.31	eV per atom
! symmetry	I4/mmm, No. 139
! raw formation energy	389	meV/atom
&SYSTEM
  ibrav = 0, nat = 5, ntyp = 3
/
ATOMIC_SPECIES
Si 28.09 Si.upf
Sn 118.71 Sn.upf
Ge 72.64 Ge.upf
CELL_PARAMETERS angstrom
-2.699 2.699 3.865
2.699 -2.699 3.865
2.699 2.699 -3.865
ATOMIC_POSITIONS crystal
Si 0.154 0.154 0.000
Si 0.846 0.846 0.000
Sn 0.250 0.750 0.500
Sn 0.750 0.250 0.500
Ge 0.500 0.500 0.000

Record 19
! Si2Sn2Ge (PBE-GGA, optimized geometry); values from VASP
! VASP energy	-4.38	eV per atom
! symmetry	P4/mbm, No. 127
! raw formation energy	318	meV/atom
&SYSTEM
  ibrav = 0, nat = 10, ntyp = 3
/
ATOMIC_SPECIES
Si 28.09 Si.upf
Sn 118.71 Sn.upf
Ge 72.64 Ge.upf
CELL_PARAMETERS angstrom
6.396 0.000 0.000
0.000 6.396 0.000
0.000 0.000 5.604
ATOMIC_POSITIONS crystal
Si 0.132 0.368 0.000
Si 0.368 0.868 0.000
Si 0.632 0.132 0.000
Si 0.868 0.632 0.000
Sn 0.192 0.308 0.500
Sn 0.308 0.808 0.500
Sn 0.692 0.192 0.500
Sn 0.808 0.692 0.500
Ge 0.000 0.000 0.000
Ge 0.500 0.500 0.000

Record 20
! Sr2SiGe2 (PBE-GGA, optimized geometry); values from VASP
! VASP energy	-3.95	eV per atom
! symmetry	P4/mbm, No. 127
! raw formation energy	-345	meV/atom
&SYSTEM
  ibrav = 0, nat = 10, ntyp = 3
/
ATOMIC_SPECIES
Sr 87.62 Sr.upf
Si 28.09 Si.upf
Ge 72.64 Ge.upf
CELL_PARAMETERS angstrom
7.324 0.000 0.000
0.000 7.324 0.000
0.000 0.000 4.781
ATOMIC_POSITIONS crystal
Sr 0.177 0.323 0.000
Sr 0.323 0.823 0.000
Sr 0.677 0.177 0.000
Sr 0.823 0.677 0.000
Si 0.000 0.000 0.500
Si 0.500 0.500 0.500
Ge 0.125 0.625 0.500
Ge 0.375 0.125 0.500
Ge 0.625 0.875 0.500
Ge 0.875 0.375 0.500

Record 21
! SrSi2Ge (PBE-GGA, optimized geometry); values from VASP
! VASP energy	-4.35	eV per atom
! symmetry	I4_1/amd, No. 141
! raw formation energy	-60	meV/atom
&SYSTEM
  ibrav = 0, nat = 8, ntyp = 3
/
ATOMIC_SPECIES
Sr 87.62 Sr.upf
Si 28.09 Si.upf
Ge 72.64 Ge.upf
CELL_PARAMETERS angstrom
-2.374 2.374 8.976
2.374 -2.374 8.976
2.374 2.374 -8.976
ATOMIC_POSITIONS crystal
Sr 0.375 0.625 0.750
Sr 0.625 0.375 0.250
Si 0.000 0.000 0.000
Si 0.000 0.000 0.500
Si 0.000 0.500 0.000
Si 0.500 0.000 0.500
Ge 0.125 0.875 0.250
Ge 0.875 0.125 0.750

Record 22
! Sr2SiGe (PBE-GGA, optimized geometry); values from VASP
! VASP energy	-3.27	eV per atom
! symmetry	I-42d, No. 122
! raw formation energy	85	meV/atom
&SYSTEM
  ibrav = 0, nat = 8, ntyp = 3
/
ATOMIC_SPECIES
Sr 87.62 Sr.upf
Si 28.09 Si.upf
Ge 72.64 Ge.upf
CELL_PARAMETERS angstrom
-4.245 4.245 3.378
4.245 -4.245 3.378
4.245 4.245 -3.378
ATOMIC_POSITIONS crystal
Sr 0.122 0.625 0.997
Sr 0.375 0.372 0.497
Sr 0.628 0.125 0.003
Sr 0.875 0.878 0.503
Si 0.000 0.000 0.000
Si 0.750 0.250 0.500
Ge 0.250 0.750 0.500
Ge 0.500 0.500 0.000

Record 23
! Sr2SiGe (PBE-GGA, optimized geometry); values from VASP
! VASP energy	-3.61	eV per atom
! symmetry	Fm-3m, No. 225
! raw formation energy	-258	meV/atom
&SYSTEM
  ibrav = 0, nat = 4, ntyp = 3
/
ATOMIC_SPECIES
Sr 87.62 Sr.upf
Si 28.09 Si.upf
Ge 72.64 Ge.upf
CELL_PARAMETERS angstrom
0.000 3.832 3.832
3.832 0.000 3.832
3.832 3.832 0.000
ATOMIC_POSITIONS crystal
Sr 0.250 0.250 0.250
Sr 0.750 0.750 0.750
Si 0.000 0.000 0.000
Ge 0.500 0.500 0.500

Record 24
! Sr3SiGe (PBE-GGA, optimized geometry); values from VASP
! VASP energy	-3.00	eV per atom
! symmetry	Pm-3m, No. 221
! raw formation energy	18	meV/atom
&SYSTEM
  ibrav = 0, nat = 5, ntyp = 3
/
ATOMIC_SPECIES
Sr 87.62 Sr.upf
Si 28.09 Si.upf
Ge 72.64 Ge.upf
CELL_PARAMETERS angstrom
5.940 0.000 0.000
0.000 5.940 0.000
0.000 0.000 5.940
ATOMIC_POSITIONS crystal
Sr 0.000 0.000 0.500
Sr 0.000 0.500 0.000
Sr 0.500 0.000 0.000
Si 0.000 0.000 0.000
Ge 0.500 0.500 0.500